Entry 1:
Density functional theory data (PBE) for NbTlRh2N after structural relaxation.

DOS(E_F) = 0.867 states/eV/atom
Magnetic moment = 2.37 μB/f.u.
E_form (uncorrected) = 1899 meV per atom
Raw total energy = -5.19 eV per atom

Cell: 4.7048 4.7048 5.7853 Å, 90.00 90.00 90.00°
With the nearest neighbours (Å) after each atom.
Fractional positions:
Tl  0.0000  0.0000  0.5000  2 Nb 2.89
Rh  0.0000  0.5000  0.0000  2 Nb 2.35
Rh  0.5000  0.0000  0.0000  2 Nb 2.35
Nb  0.0000  0.0000  0.0000  4 Rh 2.35
N  0.5000  0.5000  0.5000  4 Tl 3.33

Entry 2:
Density functional theory data (PBE) for LaHoZnFe after structural relaxation.

DOS(E_F) = 0.861 states/eV/atom
Magnetic moment = 1.38 μB/f.u.
Raw total energy = -4.83 eV per atom

Cell: 5.0355 5.0355 5.0355 Å, 60.00 60.00 60.00°
With the nearest neighbours (Å) after each atom.
Fractional positions:
Fe  0.2500  0.2500  0.2500  4 Ho 3.08, 4 La 3.08
Zn  0.7500  0.7500  0.7500  4 Ho 3.08, 4 La 3.08
Ho  0.5000  0.5000  0.5000  4 Fe 3.08, 4 Zn 3.08
La  0.0000  0.0000  0.0000  4 Fe 3.08, 4 Zn 3.08

Entry 3:
Density functional theory data (PBE) for CrHgSe2 after structural relaxation.

DOS(E_F) = 0.508 states/eV/atom
Magnetic moment = 2.62 μB/f.u.
E_form (uncorrected) = 13 meV per atom
Raw total energy = -4.21 eV per atom

Cell: 8.8193 8.8193 8.8193 Å, 23.16 23.16 23.16°
With the nearest neighbours (Å) after each atom.
Fractional positions:
Cr  0.5039  0.5039  0.5039  3 Se 2.42
Hg  0.7588  0.7588  0.7588  3 Se 2.83, 3 Cr 2.87
Se  0.0163  0.0163  0.0163  3 Hg 2.83
Se  0.2210  0.2210  0.2210  3 Cr 2.42

Entry 4:
Density functional theory data (PBE) for KLiGe4 after structural relaxation.

DOS(E_F) = 1.152 states/eV/atom
Magnetic moment = 0.00 μB/f.u.
Raw total energy = -3.48 eV per atom

Cell: 5.7561 5.7561 5.7561 Å, 60.00 60.00 60.00°
With the nearest neighbours (Å) after each atom.
Fractional positions:
Ge  0.6233  0.6233  0.1300  6 Ge 2.84-2.92
Ge  0.6233  0.1300  0.6233  6 Ge 2.84-2.92
Ge  0.6233  0.6233  0.6233  6 Ge 2.84-2.92
Ge  0.1300  0.6233  0.6233  6 Ge 2.84-2.92
K  0.0000  0.0000  0.0000  12 Ge 3.38, 4 Li 3.52
Li  0.2500  0.2500  0.2500  12 Ge 3.37, 4 K 3.52

Entry 5:
Density functional theory data (PBE) for BaCaMn4 after structural relaxation.

DOS(E_F) = 1.212 states/eV/atom
Magnetic moment = 14.01 μB/f.u.
Raw total energy = -6.14 eV per atom

Cell: 5.7408 5.7408 5.7408 Å, 60.00 60.00 60.00°
With the nearest neighbours (Å) after each atom.
Fractional positions:
Ba  0.7500  0.7500  0.7500  12 Mn 3.38, 4 Ca 3.52
Ca  0.0000  0.0000  0.0000  12 Mn 3.35, 4 Ba 3.52
Mn  0.8920  0.3693  0.3693  6 Mn 2.74-3.00
Mn  0.3693  0.3693  0.8920  6 Mn 2.74-3.00
Mn  0.3693  0.8920  0.3693  6 Mn 2.74-3.00
Mn  0.3693  0.3693  0.3693  6 Mn 2.74-3.00

Entry 6:
Density functional theory data (PBE) for LiHf2CuO after structural relaxation.

DOS(E_F) = 0.854 states/eV/atom
Polymorph energy (0 for the lowest one) = 2.36 eV per formula unit
Magnetic moment = 0.00 μB/f.u.
E_form (uncorrected) = -574 meV per atom
Raw total energy = -6.75 eV per atom

Cell: 4.2930 4.2930 4.2713 Å, 90.00 90.00 90.00°
With the nearest neighbours (Å) after each atom.
Fractional positions:
Hf  0.0000  0.5000  0.0000  2 O 2.15
Hf  0.5000  0.0000  0.0000  2 O 2.15
O  0.0000  0.0000  0.0000  2 Cu 2.14, 4 Hf 2.15
Cu  0.0000  0.0000  0.5000  2 O 2.14
Li  0.5000  0.5000  0.5000  8 Hf 3.03, 4 Cu 3.04

Entry 7:
Density functional theory data (PBE) for Y2SiP after structural relaxation.

DOS(E_F) = 0.356 states/eV/atom
Polymorph energy (0 for the lowest one) = 2.08 eV per formula unit
Magnetic moment = 0.00 μB/f.u.
E_form (uncorrected) = -705 meV per atom
Raw total energy = -6.64 eV per atom

Cell: 7.4686 7.4686 6.3013 Å, 53.66 53.66 90.00°
With the nearest neighbours (Å) after each atom.
Fractional positions:
Y  0.6369  0.1250  0.2500  2 P 2.72, 2 Si 2.84
Y  0.1131  0.6250  0.2500  2 P 2.72, 2 Si 2.84
Y  0.3750  0.3631  0.7500  2 P 2.72, 2 Si 2.84
Y  0.8750  0.8869  0.7500  2 P 2.72, 2 Si 2.84
P  0.0000  0.0000  0.0000  4 Y 2.72
P  0.7500  0.2500  0.5000  4 Y 2.72
Si  0.5000  0.5000  0.0000  4 Y 2.84
Si  0.2500  0.7500  0.5000  4 Y 2.84

Entry 8:
Density functional theory data (PBE) for Tb2Y3N4 after structural relaxation.

DOS(E_F) = 0.349 states/eV/atom
Magnetic moment = 0.00 μB/f.u.
E_form (uncorrected) = -1495 meV per atom
Raw total energy = -8.38 eV per atom

Cell: 3.4983 6.0792 7.8362 Å, 75.40 77.10 73.28°
With the nearest neighbours (Å) after each atom.
Fractional positions:
Tb  0.6061  0.1761  0.6116  4 N 2.36-2.49
Tb  0.3939  0.8239  0.3883  4 N 2.36-2.49
Y  0.0000  0.0000  0.0000  6 N 2.49
Y  0.2041  0.4020  0.1897  5 N 2.39-2.52
Y  0.7959  0.5980  0.8103  5 N 2.39-2.52
N  0.8005  0.0959  0.3031  3 Tb 2.36-2.49, 3 Y 2.49-2.52
N  0.1995  0.9041  0.6969  3 Tb 2.36-2.49, 3 Y 2.49-2.52
N  0.3981  0.3022  0.9015  5 Y 2.39-2.49, 1 Tb 2.47
N  0.6019  0.6978  0.0985  5 Y 2.39-2.49, 1 Tb 2.47

Entry 9:
Density functional theory data (PBE) for ZrCo2Tc after structural relaxation.

DOS(E_F) = 1.460 states/eV/atom
Polymorph energy (0 for the lowest one) = 1.42 eV per formula unit
Magnetic moment = 2.12 μB/f.u.
Raw total energy = -7.95 eV per atom

Cell: 8.9521 8.9521 8.9521 Å, 17.74 17.74 17.74°
With the nearest neighbours (Å) after each atom.
Fractional positions:
Co  0.9925  0.9925  0.9925  3 Tc 2.56, 6 Co 2.76
Co  0.5075  0.5075  0.5075  3 Tc 2.56, 6 Co 2.76
Tc  0.2500  0.2500  0.2500  6 Co 2.56, 6 Tc 2.76
Zr  0.7500  0.7500  0.7500  6 Zr 2.76, 6 Co 2.88

Entry 10:
Density functional theory data (PBE) for CdRePO2 after structural relaxation.

DOS(E_F) = 0.464 states/eV/atom
Polymorph energy (0 for the lowest one) = 0.00 eV per formula unit
Magnetic moment = 0.00 μB/f.u.
E_form (uncorrected) = -748 meV per atom
Raw total energy = -6.49 eV per atom

Cell: 3.8257 3.8257 5.1415 Å, 90.00 90.00 90.00°
With the nearest neighbours (Å) after each atom.
Fractional positions:
Re  0.0000  0.0000  0.0000  4 O 1.91
O  0.0000  0.5000  0.0000  2 Re 1.91
O  0.5000  0.0000  0.0000  2 Re 1.91
P  0.0000  0.0000  0.5000  2 Re 2.57, 4 Cd 2.71
Cd  0.5000  0.5000  0.5000  4 P 2.71

Entry 11:
Density functional theory data (PBE) for Ca2MgAlIr2 after structural relaxation.

DOS(E_F) = 0.349 states/eV/atom
Magnetic moment = 0.00 μB/f.u.
Raw total energy = -5.03 eV per atom

Cell: 5.9395 5.9204 8.3301 Å, 110.82 110.89 90.00°
With the nearest neighbours (Å) after each atom.
Fractional positions:
Ca  0.4203  0.1752  0.3504  5 Ir 3.02-3.24, 2 Mg 3.27, 2 Al 3.29
Ca  0.5797  0.8248  0.6496  5 Ir 3.02-3.24, 2 Mg 3.27, 2 Al 3.29
Ca  0.0699  0.3248  0.6496  5 Ir 3.02-3.24, 2 Mg 3.27, 2 Al 3.29
Ca  0.9301  0.6752  0.3504  5 Ir 3.02-3.24, 2 Mg 3.27, 2 Al 3.29
Mg  0.0000  0.7500  0.0000  4 Ir 2.69, 2 Mg 2.96, 2 Al 2.97
Mg  0.0000  0.2500  0.0000  4 Ir 2.69, 2 Mg 2.96, 2 Al 2.97
Al  0.5000  0.7500  0.0000  4 Ir 2.52
Al  0.5000  0.2500  0.0000  4 Ir 2.52
Ir  0.8320  0.1069  0.2138  2 Al 2.52, 2 Mg 2.69
Ir  0.3818  0.6069  0.2138  2 Al 2.52, 2 Mg 2.69
Ir  0.6182  0.3931  0.7862  2 Al 2.52, 2 Mg 2.69
Ir  0.1680  0.8931  0.7862  2 Al 2.52, 2 Mg 2.69

Entry 12:
Density functional theory data (PBE) for Ba3CaTl2O6 after structural relaxation.

DOS(E_F) = 0.302 states/eV/atom
Magnetic moment = 1.58 μB/f.u.
E_form (uncorrected) = -1834 meV per atom
Raw total energy = -5.35 eV per atom

Cell: 6.3778 6.3778 7.0032 Å, 90.00 90.00 120.00°
With the nearest neighbours (Å) after each atom.
Fractional positions:
Ba  0.3333  0.6667  0.6079  3 O 2.80
Ba  0.6667  0.3333  0.3921  3 O 2.80
Ba  0.0000  0.0000  0.0000  6 O 2.83
Ca  0.0000  0.0000  0.5000  6 O 2.31
Tl  0.6667  0.3333  0.8721  3 O 2.20
Tl  0.3333  0.6667  0.1279  3 O 2.20
O  0.6638  0.8319  0.3044  1 Tl 2.20, 1 Ca 2.31
O  0.1681  0.3362  0.3044  1 Tl 2.20, 1 Ca 2.31
O  0.1681  0.8319  0.3044  1 Tl 2.20, 1 Ca 2.31
O  0.8319  0.6638  0.6956  1 Tl 2.20, 1 Ca 2.31
O  0.3362  0.1681  0.6956  1 Tl 2.20, 1 Ca 2.31
O  0.8319  0.1681  0.6956  1 Tl 2.20, 1 Ca 2.31